No. 1
{
  "formula": "OsRhSeBr2",
  "functional": "PBE",
  "state": "relaxed",
  "dft_energy_ev_per_atom": -3.799,
  "de_polymorph_mev_per_atom": 243.6,
  "sg": "P4/mmm (123)",
  "rho_g_cm3": 7.2,
  "raw_formation_energy_ev_per_atom": 1.283,
  "lattice_angstrom": [[5.0026, 0.0000, 0.0000], [0.0000, 5.0026, 0.0000], [0.0000, 0.0000, 4.8905]],
  "species": ["Os", "Rh", "Se", "Br", "Br"],
  "fractional_positions": [[0.0000, 0.0000, 0.0000], [0.5000, 0.5000, 0.5000], [0.5000, 0.5000, 0.0000], [0.0000, 0.5000, 0.5000], [0.5000, 0.0000, 0.5000]]
}

=====

No. 2
{
  "formula": "Cs2GaSnH6",
  "functional": "PBE",
  "state": "relaxed",
  "dft_energy_ev_per_atom": -2.823,
  "sg": "Immm (71)",
  "rho_g_cm3": 4.4,
  "lattice_angstrom": [[-3.1348, 3.1379, 4.4339], [3.1348, -3.1379, 4.4339], [3.1348, 3.1379, -4.4339]],
  "species": ["Cs", "Cs", "Ga", "Sn", "H", "H", "H", "H", "H", "H"],
  "fractional_positions": [[0.2499, 0.2499, 0.0000], [0.7501, 0.7501, 0.0000], [0.5000, 0.0000, 0.5000], [0.0000, 0.5000, 0.5000], [0.2269, 0.7269, 0.5000], [0.2284, 0.2737, 0.5021], [0.2284, 0.7263, 0.9547], [0.7716, 0.2737, 0.0453], [0.7716, 0.7263, 0.4979], [0.7731, 0.2731, 0.5000]]
}

=====

No. 3
{
  "formula": "Tc2PtCl",
  "functional": "PBE",
  "state": "relaxed",
  "dft_energy_ev_per_atom": -6.309,
  "de_polymorph_mev_per_atom": 727.5,
  "sg": "C2/m (12)",
  "rho_g_cm3": 11.4,
  "raw_formation_energy_ev_per_atom": 0.846,
  "lattice_angstrom": [[2.5884, -4.5129, 0.0000], [2.5884, 4.5129, 0.0000], [-0.9576, 0.0000, 2.6656]],
  "species": ["Tc", "Tc", "Pt", "Cl"],
  "fractional_positions": [[0.0000, 0.5000, 0.0000], [0.5000, 0.0000, 0.0000], [0.0000, 0.0000, 0.5000], [0.5000, 0.5000, 0.5000]]
}